P) ## ZrNi2W (GGA-PBEsol)

Data for a geometry-optimized ZrNi2W structure.

Results
The calculation puts the magnetic moment at 0.00 Bohr magnetons per cell. The calculation puts the density at 11.648 g/cm3. For the density of states at the Fermi level, the calculation gives 3.56 states/eV/f.u.

```
data_ZrNi2W
_cell_length_a 5.503
_cell_length_b 7.478
_cell_length_c 2.719
_cell_angle_alpha 90.00
_cell_angle_beta 90.15
_cell_angle_gamma 90.00
_space_group_name_H-M_alt 'C 1 2/m 1'
_space_group_IT_number 12
loop_
_space_group_symop_operation_xyz
'x,y,z'
'-x,-y,-z'
'-x,y,-z'
'x,-y,z'
'x+1/2,y+1/2,z'
'-x+1/2,-y+1/2,-z'
'-x+1/2,y+1/2,-z'
'x+1/2,-y+1/2,z'
loop_
_atom_site_label
_atom_site_fract_x
_atom_site_fract_y
_atom_site_fract_z
Zr1 0.000 0.000 0.000
Ni1 0.250 0.250 0.500
W1 0.000 0.500 0.000
```



Q) ## ZrNi2W (GGA-PBEsol)

Data for a geometry-optimized ZrNi2W structure.

Results
The calculation puts the magnetic moment at 0.00 Bohr magnetons per cell. The calculation puts the density at 11.579 g/cm3. For the density of states at the Fermi level, the calculation gives 4.54 states/eV/f.u.

```
data_ZrNi2W
_cell_length_a 2.727
_cell_length_b 4.344
_cell_length_c 4.772
_cell_angle_alpha 90.00
_cell_angle_beta 95.37
_cell_angle_gamma 90.00
_space_group_name_H-M_alt 'P 1 m 1'
_space_group_IT_number 6
loop_
_space_group_symop_operation_xyz
'x,y,z'
'x,-y,z'
loop_
_atom_site_label
_atom_site_fract_x
_atom_site_fract_y
_atom_site_fract_z
Zr1 0.000 0.000 0.000
Ni1 0.569 0.000 0.484
Ni2 0.570 0.500 0.152
W1 0.168 0.500 0.611
```



Quick one: least stable of them? P)



P) ## Y2ZrNi (GGA-PBEsol)

Data for a geometry-optimized Y2ZrNi structure.

Results
The calculation puts the magnetic moment at 0.00 Bohr magnetons per cell. The calculation puts the density at 5.934 g/cm3. For the density of states at the Fermi level, the calculation gives 3.54 states/eV/f.u.

```
data_Y2ZrNi
_cell_length_a 3.4006
_cell_length_b 3.4006
_cell_length_c 27.4711
_cell_angle_alpha 90.00
_cell_angle_beta 90.00
_cell_angle_gamma 120.00
_space_group_name_H-M_alt 'R -3 m'
_space_group_IT_number 166
_space_group_name_Hall '-R 3 2"'
loop_
_atom_site_label
_atom_site_fract_x
_atom_site_fract_y
_atom_site_fract_z
Y1 0.0000 0.0000 0.2352
Zr1 0.0000 0.0000 0.0000
Ni1 0.0000 0.0000 0.5000
```



Q) ## Y2ZrNi (GGA-PBEsol)

Data for a geometry-optimized Y2ZrNi structure.

Results
The calculation puts the magnetic moment at 0.02 Bohr magnetons per cell. The calculation puts the density at 6.106 g/cm3. For the density of states at the Fermi level, the calculation gives 4.88 states/eV/f.u.

```
data_Y2ZrNi
_cell_length_a 3.492
_cell_length_b 5.024
_cell_length_c 10.162
_cell_angle_alpha 90.00
_cell_angle_beta 90.00
_cell_angle_gamma 90.00
_space_group_name_H-M_alt 'I m m m'
_space_group_IT_number 71
_space_group_name_Hall '-I 2 2'
loop_
_atom_site_label
_atom_site_fract_x
_atom_site_fract_y
_atom_site_fract_z
Y1 0.000 0.000 0.202
Zr1 0.000 0.500 0.000
Ni1 0.000 0.500 0.500
```



R) ## Y2ZrNi (GGA-PBEsol)

Data for a geometry-optimized Y2ZrNi structure.

Results
The calculation puts the magnetic moment at 0.00 Bohr magnetons per cell. The calculation puts the density at 6.196 g/cm3. For the density of states at the Fermi level, the calculation gives 4.68 states/eV/f.u.

```
data_Y2ZrNi
_cell_length_a 4.147
_cell_length_b 4.147
_cell_length_c 10.213
_cell_angle_alpha 90.00
_cell_angle_beta 90.00
_cell_angle_gamma 90.00
_space_group_name_H-M_alt 'I -4 m 2'
_space_group_IT_number 119
_space_group_name_Hall 'I -4 -2'
loop_
_atom_site_label
_atom_site_fract_x
_atom_site_fract_y
_atom_site_fract_z
Y1 0.000 0.000 0.000
Y2 0.000 0.500 0.250
Zr1 0.000 0.000 0.500
Ni1 0.000 0.500 0.750
```



Quick one: least stable of them? R)



P) ## O (GGA-PBEsol)

Data for a geometry-optimized O structure.

Results
The calculation puts the magnetic moment at 0.00 Bohr magnetons per cell. The calculation puts the density at 2.137 g/cm3.

```
data_O
_cell_length_a 4.216
_cell_length_b 4.126
_cell_length_c 3.014
_cell_angle_alpha 90.00
_cell_angle_beta 108.42
_cell_angle_gamma 90.00
_space_group_name_H-M_alt 'P 1 2/c 1'
_space_group_IT_number 13
loop_
_space_group_symop_operation_xyz
'x,y,z'
'-x,-y,-z'
'-x,y,-z+1/2'
'x,-y,z+1/2'
loop_
_atom_site_label
_atom_site_fract_x
_atom_site_fract_y
_atom_site_fract_z
O1 0.153 0.176 0.318
```



Q) ## O (GGA-PBEsol)

Data for a geometry-optimized O structure.

Results
The calculation puts the magnetic moment at 4.00 Bohr magnetons per cell. The calculation puts the density at 1.414 g/cm3. For the density of states at the Fermi level, the calculation gives 0.00 states/eV/f.u.

```
data_O
_cell_length_a 4.841
_cell_length_b 4.870
_cell_length_c 3.693
_cell_angle_alpha 90.00
_cell_angle_beta 120.34
_cell_angle_gamma 90.00
_space_group_name_H-M_alt 'C 1 2/m 1'
_space_group_IT_number 12
loop_
_space_group_symop_operation_xyz
'x,y,z'
'-x,-y,-z'
'-x,y,-z'
'x,-y,z'
'x+1/2,y+1/2,z'
'-x+1/2,-y+1/2,-z'
'-x+1/2,y+1/2,-z'
'x+1/2,-y+1/2,z'
loop_
_atom_site_label
_atom_site_fract_x
_atom_site_fract_y
_atom_site_fract_z
O1 0.134 0.000 0.156
```



R) ## O (GGA-PBEsol)

Data for a geometry-optimized O structure.

Results
The calculation puts the magnetic moment at 0.00 Bohr magnetons per cell. The calculation puts the density at 2.005 g/cm3. For the density of states at the Fermi level, the calculation gives 0.00 states/eV/f.u.

```
data_O
_cell_length_a 3.8644
_cell_length_b 3.8644
_cell_length_c 3.0733
_cell_angle_alpha 90.00
_cell_angle_beta 90.00
_cell_angle_gamma 120.00
_space_group_name_H-M_alt 'P 31 2 1'
_space_group_IT_number 152
loop_
_space_group_symop_operation_xyz
'x,y,z'
'-y,x-y,z+1/3'
'-x+y,-x,z+2/3'
'y,x,-z'
'x-y,-y,-z+2/3'
'-x,-x+y,-z+1/3'
loop_
_atom_site_label
_atom_site_fract_x
_atom_site_fract_y
_atom_site_fract_z
O1 0.0000 0.1491 0.1667
```



Quick one: least stable of them? R)



P) ## P2Pb3O8 (GGA-PBEsol)

Data for a geometry-optimized P2Pb3O8 structure.

Results
The calculation puts the magnetic moment at 0.00 Bohr magnetons per cell. The calculation puts the density at 7.751 g/cm3. For the density of states at the Fermi level, the calculation gives 0.00 states/eV/f.u.

```
data_P2Pb3O8
_cell_length_a 9.344
_cell_length_b 5.537
_cell_length_c 7.422
_cell_angle_alpha 90.00
_cell_angle_beta 115.10
_cell_angle_gamma 90.00
_space_group_name_H-M_alt 'C 1 2/m 1'
_space_group_IT_number 12
loop_
_space_group_symop_operation_xyz
'x,y,z'
'-x,-y,-z'
'-x,y,-z'
'x,-y,z'
'x+1/2,y+1/2,z'
'-x+1/2,-y+1/2,-z'
'-x+1/2,y+1/2,-z'
'x+1/2,-y+1/2,z'
loop_
_atom_site_label
_atom_site_fract_x
_atom_site_fract_y
_atom_site_fract_z
P1 0.095 0.000 0.288
Pb1 0.000 0.500 0.500
Pb2 0.217 0.500 0.133
O1 0.012 0.228 0.788
O2 0.178 0.000 0.518
O3 0.221 0.000 0.204
```



Q) ## P2Pb3O8 (GGA-PBEsol)

Data for a geometry-optimized P2Pb3O8 structure.

Results
The calculation puts the magnetic moment at 0.00 Bohr magnetons per cell. The calculation puts the density at 6.755 g/cm3. For the density of states at the Fermi level, the calculation gives 0.00 states/eV/f.u.

```
data_P2Pb3O8
_cell_length_a 9.7800
_cell_length_b 9.7800
_cell_length_c 7.2247
_cell_angle_alpha 90.00
_cell_angle_beta 90.00
_cell_angle_gamma 120.00
_space_group_name_H-M_alt 'P 3'
_space_group_IT_number 143
loop_
_space_group_symop_operation_xyz
'x,y,z'
'-y,x-y,z'
'-x+y,-x,z'
loop_
_atom_site_label
_atom_site_fract_x
_atom_site_fract_y
_atom_site_fract_z
P1 0.0189 0.3950 0.0000
P2 0.3938 0.3739 0.4984
Pb1 0.0028 0.7449 0.9946
Pb2 0.0128 0.2603 0.5066
Pb3 0.3333 0.6667 0.2584
Pb4 0.6667 0.3333 0.2542
Pb5 0.6667 0.3333 0.7545
O1 0.0675 0.3271 0.8351
O2 0.0816 0.3524 0.1760
O3 0.0952 0.5767 0.9926
O4 0.1610 0.6947 0.4877
O5 0.3440 0.2634 0.6708
O6 0.3635 0.2674 0.3256
O7 0.4823 0.1652 0.0027
O8 0.5124 0.0896 0.5122
```



Quick one: least stable of them? P)